# HPtSe2N PBE relaxed
data_HPtSe2N
_chemical_formula_sum 'H1 Pt1 Se2 N1'
_cell_length_a 4.905
_cell_length_b 4.905
_cell_length_c 2.726
_cell_angle_alpha 90.00
_cell_angle_beta 90.00
_cell_angle_gamma 90.00
_symmetry_space_group_name_H-M 'P 4/m m m'
_symmetry_Int_Tables_number 123
_symmetry_space_group_name_Hall '-P 4 2'
loop_
_atom_site_label
_atom_site_fract_x
_atom_site_fract_y
_atom_site_fract_z
H1 0.000 0.000 0.000
Pt1 0.500 0.500 0.500
Se1 0.000 0.500 0.000
N1 0.000 0.000 0.500
# - Fermi-level density of states (states/eV/f.u.) = 3.01
# - E above lowest polymorph (kJ per mole of atoms) = 0.0
# - raw total energy (eV per formula unit) = -19.7



# TiHPtN2 PBE relaxed
data_TiHPtN2
_chemical_formula_sum 'Ti1 H1 Pt1 N2'
_cell_length_a 3.727
_cell_length_b 3.727
_cell_length_c 5.470
_cell_angle_alpha 90.00
_cell_angle_beta 90.00
_cell_angle_gamma 90.00
_symmetry_space_group_name_H-M 'P 4/m m m'
_symmetry_Int_Tables_number 123
_symmetry_space_group_name_Hall '-P 4 2'
loop_
_atom_site_label
_atom_site_fract_x
_atom_site_fract_y
_atom_site_fract_z
Ti1 0.000 0.000 0.000
H1 0.500 0.500 0.000
Pt1 0.000 0.000 0.500
N1 0.000 0.500 0.500
# - Fermi-level density of states (states/eV/f.u.) = 6.74
# - raw total energy (eV per formula unit) = -26.8



# Pu2HN PBE relaxed
data_Pu2HN
_chemical_formula_sum 'Pu2 H1 N1'
_cell_length_a 3.072
_cell_length_b 3.072
_cell_length_c 6.172
_cell_angle_alpha 90.00
_cell_angle_beta 90.00
_cell_angle_gamma 90.00
_symmetry_space_group_name_H-M 'P 4/m m m'
_symmetry_Int_Tables_number 123
_symmetry_space_group_name_Hall '-P 4 2'
loop_
_atom_site_label
_atom_site_fract_x
_atom_site_fract_y
_atom_site_fract_z
Pu1 0.000 0.000 0.234
H1 0.500 0.500 0.500
N1 0.500 0.500 0.000
# - Fermi-level density of states (states/eV/f.u.) = 7.65
# - raw total energy (eV per formula unit) = -41.7



# Pu4HN5 PBE relaxed
data_Pu4HN5
_chemical_formula_sum 'Pu8 H2 N10'
_cell_length_a 13.564
_cell_length_b 3.598
_cell_length_c 5.592
_cell_angle_alpha 90.00
_cell_angle_beta 93.28
_cell_angle_gamma 90.00
_symmetry_space_group_name_H-M 'C 1 2/m 1'
_symmetry_Int_Tables_number 12
loop_
_symmetry_equiv_pos_as_xyz
'x,y,z'
'-x,-y,-z'
'-x,y,-z'
'x,-y,z'
'x+1/2,y+1/2,z'
'-x+1/2,-y+1/2,-z'
'-x+1/2,y+1/2,-z'
'x+1/2,-y+1/2,z'
loop_
_atom_site_label
_atom_site_fract_x
_atom_site_fract_y
_atom_site_fract_z
Pu1 0.050 0.000 0.254
Pu2 0.192 0.500 0.743
H1 0.000 0.500 0.000
N1 0.000 0.500 0.500
N2 0.164 0.000 0.995
N3 0.175 0.000 0.492
# - Fermi-level density of states (states/eV/f.u.) = 19.78
# - raw total energy (eV per formula unit) = -112.7



Question: Which of these has the lowest Fermi-level density of states?
Answer: HPtSe2N



Question: Among the records above, which one has the lowest raw total energy?
Answer: Pu4HN5



Question: Number 1 is which compound?
Answer: HPtSe2N



Question: Among the records above, which one has the highest Fermi-level density of states?
Answer: Pu4HN5